A relaxed structure of Nb2TlSnO, computed with PBE-GGA.

a = 5.4202 Å, b = 5.4531 Å, c = 5.4202 Å
α = 90.00°, β = 90.00°, γ = 90.00°
Fractional positions:
O 0.5000 0.5000 0.5000
Nb 0.5000 0.0000 0.0000
Sn 0.0000 0.5000 0.0000
Nb 0.0000 0.0000 0.5000
Tl 0.0000 0.0000 0.0000

Computed properties:
E (eV per formula unit): -20.63
Density of states at the Fermi level (states/eV per atom): 1.02
Energy relative to the elements, uncorrected (eV per atom): 2.167